*1*
The following is a DFT calculation (PBE-GGA) of HgAsSe after structural relaxation.

Computed properties:
D(E_F) in states/eV/f.u.: 2.54
Total magnetization in μB per formula unit: 0.0

a b c (Å): 4.7774 4.7774 4.7774
angles (deg): 60.00 60.00 60.00
Sites, in units of the cell vectors:
Hg: 0.0000 0.0000 0.0000
Se: 0.5000 0.5000 0.5000
As: 0.2500 0.2500 0.2500

***

*2*
The following is a DFT calculation (PBE-GGA) of HgAsSe after structural relaxation.

Computed properties:
D(E_F) in states/eV/f.u.: 2.00
Total magnetization in μB per formula unit: 0.0

a b c (Å): 8.6633 8.1146 3.8800
angles (deg): 84.67 68.85 26.48
Sites, in units of the cell vectors:
As: 0.0267 0.0267 0.9733
Se: 0.6325 0.6325 0.3675
Hg: 0.3408 0.3408 0.6592

***

Top of the stability list: *2*, leading by 0.176 eV/atom.

***

*1*
The following is a DFT calculation (PBE-GGA) of Hg3AsSe after structural relaxation.

Computed properties:
Total magnetization in μB per formula unit: 0.0

a b c (Å): 7.4155 12.5035 8.6993
angles (deg): 127.29 90.51 94.98
Sites, in units of the cell vectors:
Hg: 0.4547 0.8220 0.7026
Hg: 0.7027 0.7192 0.9812
Hg: 0.9490 0.8224 0.6956
Hg: 0.2121 0.8693 0.3745
Hg: 0.2973 0.2808 0.0188
Hg: 0.1590 0.5764 0.3155
Hg: 0.8410 0.4236 0.6845
Hg: 0.7328 0.4652 0.1060
Hg: 0.7879 0.1307 0.6255
Hg: 0.5453 0.1780 0.2974
Hg: 0.2672 0.5348 0.8940
Hg: 0.0510 0.1776 0.3044
As: 0.3210 0.3439 0.3606
As: 0.2278 0.9800 0.7356
As: 0.7722 0.0200 0.2644
As: 0.6790 0.6561 0.6394
Se: 0.8124 0.2348 0.9841
Se: 0.6653 0.7032 0.2632
Se: 0.1876 0.7652 0.0159
Se: 0.3347 0.2968 0.7368

***

*2*
The following is a DFT calculation (PBE-GGA) of Hg3AsSe after structural relaxation.

Computed properties:
D(E_F) in states/eV/f.u.: 2.88
Total magnetization in μB per formula unit: 0.0

a b c (Å): 5.2718 5.2718 5.2718
angles (deg): 90.00 90.00 90.00
Sites, in units of the cell vectors:
Hg: 0.5000 0.0000 0.0000
Hg: 0.0000 0.0000 0.5000
Hg: 0.0000 0.5000 0.0000
As: 0.0000 0.0000 0.0000
Se: 0.5000 0.5000 0.5000

***

Top of the stability list: *1*, leading by 0.312 eV/atom.

***

*1*
The following is a DFT calculation (PBE-GGA) of SrHgAs2Se after structural relaxation.

Computed properties:
D(E_F) in states/eV/f.u.: 6.20
Total magnetization in μB per formula unit: 0.0

a b c (Å): 5.1903 5.1903 5.4983
angles (deg): 90.00 90.00 90.00
Sites, in units of the cell vectors:
Hg: 0.0000 0.0000 0.0000
Se: 0.0000 0.0000 0.5000
As: 0.5000 0.0000 0.0000
As: 0.0000 0.5000 0.0000
Sr: 0.5000 0.5000 0.5000

***

*2*
The following is a DFT calculation (PBE-GGA) of SrHgAs2Se after structural relaxation.

Computed properties:
D(E_F) in states/eV/f.u.: 6.85
Total magnetization in μB per formula unit: 1.0

a b c (Å): 5.8733 5.8733 5.7162
angles (deg): 90.00 90.00 90.00
Each line ends with the local moment (μB).
Sites, in units of the cell vectors:
Hg: 0.5000 0.5000 0.5000  0.01
As: 0.0000 0.5000 0.0000  0.24
As: 0.5000 0.0000 0.0000  0.24
Sr: 0.0000 0.0000 0.0000  0.01
Se: 0.0000 0.0000 0.5000  -0.10

***

Top of the stability list: *1*, leading by 0.597 eV/atom.

***

*1*
The following is a DFT calculation (PBE-GGA) of TaHgAs2Se after structural relaxation.

Computed properties:
D(E_F) in states/eV/f.u.: 6.96
Total magnetization in μB per formula unit: 0.0

a b c (Å): 5.0244 5.0244 5.0510
angles (deg): 90.00 90.00 90.00
Sites, in units of the cell vectors:
As: 0.5000 0.0000 0.0000
As: 0.0000 0.5000 0.0000
Se: 0.0000 0.0000 0.5000
Hg: 0.0000 0.0000 0.0000
Ta: 0.5000 0.5000 0.5000

***

*2*
The following is a DFT calculation (PBE-GGA) of TaHgAs2Se after structural relaxation.

Computed properties:
D(E_F) in states/eV/f.u.: 3.44
Total magnetization in μB per formula unit: 0.0

a b c (Å): 5.0828 5.0828 4.9802
angles (deg): 90.00 90.00 90.00
Sites, in units of the cell vectors:
Se: 0.0000 0.0000 0.5000
As: 0.5000 0.0000 0.0000
As: 0.0000 0.5000 0.0000
Hg: 0.5000 0.5000 0.5000
Ta: 0.0000 0.0000 0.0000

***

Top of the stability list: *2*, leading by 1.408 eV/atom.

***

*1*
The following is a DFT calculation (PBE-GGA) of TaHgAsSe2 after structural relaxation.

Computed properties:
D(E_F) in states/eV/f.u.: 3.35
Total magnetization in μB per formula unit: 0.0

a b c (Å): 5.0024 5.0024 5.1888
angles (deg): 90.00 90.00 90.00
Sites, in units of the cell vectors:
Se: 0.0000 0.5000 0.0000
Se: 0.5000 0.0000 0.0000
Hg: 0.5000 0.5000 0.5000
Ta: 0.0000 0.0000 0.0000
As: 0.0000 0.0000 0.5000

***

*2*
The following is a DFT calculation (PBE-GGA) of TaHgAsSe2 after structural relaxation.

Computed properties:
D(E_F) in states/eV/f.u.: 5.92
Total magnetization in μB per formula unit: 0.0

a b c (Å): 5.0519 5.0519 5.0747
angles (deg): 90.00 90.00 90.00
Each line ends with the local moment (μB).
Sites, in units of the cell vectors:
Se: 0.5000 0.0000 0.0000  0.01
Se: 0.0000 0.5000 0.0000  0.01
Hg: 0.0000 0.0000 0.0000  0.01
As: 0.0000 0.0000 0.5000  0.07
Ta: 0.5000 0.5000 0.5000  -0.12

***

Top of the stability list: *1*, leading by 1.474 eV/atom.

***

*1*
The following is a DFT calculation (PBE-GGA) of YHgAs2Se after structural relaxation.

Computed properties:
D(E_F) in states/eV/f.u.: 4.18
Total magnetization in μB per formula unit: 0.0

a b c (Å): 5.1120 5.1120 5.2403
angles (deg): 90.00 90.00 90.00
Sites, in units of the cell vectors:
Y: 0.5000 0.5000 0.5000
Hg: 0.0000 0.0000 0.0000
As: 0.5000 0.0000 0.0000
As: 0.0000 0.5000 0.0000
Se: 0.0000 0.0000 0.5000

***

*2*
The following is a DFT calculation (PBE-GGA) of YHgAs2Se after structural relaxation.

Computed properties:
D(E_F) in states/eV/f.u.: 5.13
Total magnetization in μB per formula unit: 1.1

a b c (Å): 5.5524 5.5524 5.4012
angles (deg): 90.00 90.00 90.00
Each line ends with the local moment (μB).
Sites, in units of the cell vectors:
Y: 0.0000 0.0000 0.0000  0.00
As: 0.0000 0.5000 0.0000  0.18
As: 0.5000 0.0000 0.0000  0.18
Se: 0.0000 0.0000 0.5000  0.14
Hg: 0.5000 0.5000 0.5000  0.02

***

Top of the stability list: *2*, leading by 0.118 eV/atom.

***

*1*
The following is a DFT calculation (PBE-GGA) of ZnHgAs2Se after structural relaxation.

Computed properties:
D(E_F) in states/eV/f.u.: 5.75
Total magnetization in μB per formula unit: 0.0

a b c (Å): 4.9171 4.9171 4.9872
angles (deg): 90.00 90.00 90.00
Sites, in units of the cell vectors:
As: 0.0000 0.5000 0.0000
As: 0.5000 0.0000 0.0000
Se: 0.0000 0.0000 0.5000
Hg: 0.5000 0.5000 0.5000
Zn: 0.0000 0.0000 0.0000

***

*2*
The following is a DFT calculation (PBE-GGA) of ZnHgAs2Se after structural relaxation.

Computed properties:
D(E_F) in states/eV/f.u.: 6.23
Total magnetization in μB per formula unit: 1.5

a b c (Å): 5.2418 5.2418 5.3181
angles (deg): 90.00 90.00 90.00
Each line ends with the local moment (μB).
Sites, in units of the cell vectors:
Hg: 0.0000 0.0000 0.0000  0.02
As: 0.5000 0.0000 0.0000  0.28
As: 0.0000 0.5000 0.0000  0.28
Se: 0.0000 0.0000 0.5000  0.12
Zn: 0.5000 0.5000 0.5000  0.04

***

Top of the stability list: *1*, leading by 0.407 eV/atom.

***

*1*
The following is a DFT calculation (PBE-GGA) of ZnHgAsSe2 after structural relaxation.

Computed properties:
D(E_F) in states/eV/f.u.: 6.51
Total magnetization in μB per formula unit: 1.2

a b c (Å): 5.2916 5.2916 5.2693
angles (deg): 90.00 90.00 90.00
Each line ends with the local moment (μB).
Sites, in units of the cell vectors:
Se: 0.0000 0.5000 0.0000  0.05
Se: 0.5000 0.0000 0.0000  0.05
As: 0.0000 0.0000 0.5000  0.48
Zn: 0.5000 0.5000 0.5000  -0.02
Hg: 0.0000 0.0000 0.0000  0.02

***

*2*
The following is a DFT calculation (PBE-GGA) of ZnHgAsSe2 after structural relaxation.

Computed properties:
D(E_F) in states/eV/f.u.: 5.74
Total magnetization in μB per formula unit: 0.0

a b c (Å): 5.0530 5.0530 4.8072
angles (deg): 90.00 90.00 90.00
Sites, in units of the cell vectors:
Se: 0.5000 0.0000 0.0000
Se: 0.0000 0.5000 0.0000
As: 0.0000 0.0000 0.5000
Zn: 0.0000 0.0000 0.0000
Hg: 0.5000 0.5000 0.5000

***

Top of the stability list: *2*, leading by 0.374 eV/atom.

***

*1*
The following is a DFT calculation (PBE-GGA) of SiHgAs after structural relaxation.

Computed properties:
D(E_F) in states/eV/f.u.: 1.71
Total magnetization in μB per formula unit: 0.0

a b c (Å): 4.5725 4.5725 4.5725
angles (deg): 60.00 60.00 60.00
Sites, in units of the cell vectors:
Hg: 0.5000 0.5000 0.5000
As: 0.0000 0.0000 0.0000
Si: 0.2500 0.2500 0.2500

***

*2*
The following is a DFT calculation (PBE-GGA) of SiHgAs after structural relaxation.

Computed properties:
D(E_F) in states/eV/f.u.: 0.55
Total magnetization in μB per formula unit: 0.0

a b c (Å): 8.5922 8.3975 3.0372
angles (deg): 83.34 76.11 20.55
Sites, in units of the cell vectors:
Hg: 0.3253 0.3253 0.6747
As: 0.0331 0.0331 0.9669
Si: 0.6416 0.6416 0.3584

***

Top of the stability list: *2*, leading by 0.066 eV/atom.

***

*1*
The following is a DFT calculation (PBE-GGA) of SiHgAs after structural relaxation.

Computed properties:
D(E_F) in states/eV/f.u.: 1.25
Total magnetization in μB per formula unit: 0.0

a b c (Å): 3.7244 3.7244 5.5972
angles (deg): 90.00 90.00 120.00
Sites, in units of the cell vectors:
Si: 0.3333 0.6667 0.7166
As: 0.0000 0.0000 0.9257
Hg: 0.6667 0.3333 0.3577

***

*2*
The following is a DFT calculation (PBE-GGA) of SiHgAs after structural relaxation.

Computed properties:
D(E_F) in states/eV/f.u.: 0.82
Total magnetization in μB per formula unit: 0.0

a b c (Å): 6.2811 6.2811 6.2811
angles (deg): 147.57 147.57 46.52
Sites, in units of the cell vectors:
Si: 0.4440 0.4440 0.0000
Hg: 0.6631 0.6631 0.0000
As: 0.8929 0.8929 0.0000

***

*3*
The following is a DFT calculation (PBE-GGA) of SiHgAs after structural relaxation.

Computed properties:
D(E_F) in states/eV/f.u.: 1.93
Total magnetization in μB per formula unit: 0.0

a b c (Å): 4.8538 4.8538 2.9615
angles (deg): 90.00 90.00 120.00
Sites, in units of the cell vectors:
Hg: 0.6667 0.3333 0.3337
Si: 0.3333 0.6667 0.8343
As: 0.0000 0.0000 0.8320

***

Top of the stability list: *1*, leading by 0.056 eV/atom.

***

*1*
The following is a DFT calculation (PBE-GGA) of Si2HgAs after structural relaxation.

Computed properties:
D(E_F) in states/eV/f.u.: 0.98
Total magnetization in μB per formula unit: 0.0

a b c (Å): 4.6926 2.6819 7.0169
angles (deg): 112.61 90.00 90.00
Sites, in units of the cell vectors:
As: 0.5000 0.2500 0.2500
Si: 0.0000 0.0524 0.0537
Si: 0.0000 0.4476 0.4463
Hg: 0.5000 0.7500 0.7500

***

*2*
The following is a DFT calculation (PBE-GGA) of Si2HgAs after structural relaxation.

Computed properties:
D(E_F) in states/eV/f.u.: 2.23
Total magnetization in μB per formula unit: 0.0

a b c (Å): 4.7666 4.7666 4.7666
angles (deg): 60.00 60.00 60.00
Sites, in units of the cell vectors:
As: 0.0000 0.0000 0.0000
Hg: 0.5000 0.5000 0.5000
Si: 0.2500 0.2500 0.2500
Si: 0.7500 0.7500 0.7500

***

*3*
The following is a DFT calculation (PBE-GGA) of Si2HgAs after structural relaxation.

Computed properties:
D(E_F) in states/eV/f.u.: 1.79
Total magnetization in μB per formula unit: 0.0

a b c (Å): 2.8478 2.8478 10.2944
angles (deg): 90.00 90.00 107.13
Sites, in units of the cell vectors:
As: 0.0000 0.0000 0.4448
Hg: 0.5000 0.5000 0.7593
Si: 0.0000 0.0000 0.0562
Si: 0.5000 0.5000 0.2398

***

Top of the stability list: *1*, leading by 0.072 eV/atom.

***

*1*
The following is a DFT calculation (PBE-GGA) of Si2HgAs after structural relaxation.

Computed properties:
D(E_F) in states/eV/f.u.: 1.92
Total magnetization in μB per formula unit: 0.0

a b c (Å): 5.6464 5.6464 5.6464
angles (deg): 144.78 130.57 62.14
Sites, in units of the cell vectors:
Si: 0.7449 0.2449 0.5000
Si: 0.9457 0.9457 0.0000
Hg: 0.2567 0.7567 0.5000
As: 0.5528 0.5528 0.0000

***

*2*
The following is a DFT calculation (PBE-GGA) of Si2HgAs after structural relaxation.

Computed properties:
D(E_F) in states/eV/f.u.: 1.32
Total magnetization in μB per formula unit: 0.0

a b c (Å): 5.7710 5.7710 5.7710
angles (deg): 140.30 140.30 57.39
Sites, in units of the cell vectors:
As: 0.5000 0.5000 0.0000
Hg: 0.7500 0.2500 0.5000
Si: 0.0000 0.0000 0.0000
Si: 0.2500 0.7500 0.5000

***

*3*
The following is a DFT calculation (PBE-GGA) of Si2HgAs after structural relaxation.

Computed properties:
D(E_F) in states/eV/f.u.: 1.60
Total magnetization in μB per formula unit: 0.0

a b c (Å): 10.3856 10.3856 10.3856
angles (deg): 16.33 16.33 16.33
Sites, in units of the cell vectors:
Si: 0.9897 0.9897 0.9897
Si: 0.5103 0.5103 0.5103
Hg: 0.7500 0.7500 0.7500
As: 0.2500 0.2500 0.2500

***

Top of the stability list: *1*, leading by 0.046 eV/atom.